Material: Se5Br
Method: DFT, PBE
State: relaxed

Calculated values
Its uncorrected formation energy is 0.64 eV/atom. The uncorrected energy is -2.54 eV per atom. As for the symmetry: F-43m.

Lattice parameters (Å, degrees): 5.844 5.844 5.844 60.00 60.00 60.00
Sites, in units of the cell vectors:
Br 0.000 0.000 0.000
Se 0.611 0.611 0.168
Se 0.168 0.611 0.611
Se 0.611 0.168 0.611
Se 0.611 0.611 0.611
Se 0.250 0.250 0.250